Density functional theory data (PBE-GGA) for an optimized crystal structure of NdTm2Zn2In2.

Cell lengths 4.7267, 4.7267, 9.4744 Å; angles 75.56, 75.56, 60.00 degrees
Closest atoms and distances in Å follow each position.
Fractional positions:
Zn1 0.4076 0.4076 0.7772  3 In 2.73
Zn2 0.5924 0.5924 0.2228  3 In 2.73
Tm1 0.8707 0.8707 0.3878  3 In 3.11, 3 Zn 3.11, 3 Tm 3.41
Tm2 0.1293 0.1293 0.6122  3 In 3.11, 3 Zn 3.11, 3 Tm 3.41
In1 0.2587 0.2587 0.2239  3 Zn 2.73
In2 0.7413 0.7413 0.7761  3 Zn 2.73
Nd1 0.0000 0.0000 0.0000  6 Zn 3.40, 6 In 3.40, 2 Tm 3.52

Output
The total energy comes out at -3.381 eV per atom. The density comes out at 7.97 g/cm3.



Density functional theory data (PBE-GGA) for an optimized crystal structure of Nd2TmZn2In2.

Cell lengths 4.7106, 4.7106, 9.7526 Å; angles 76.02, 76.02, 60.00 degrees
Closest atoms and distances in Å follow each position.
Fractional positions:
Nd1 0.1260 0.1260 0.6220  3 In 3.22, 3 Zn 3.35, 1 Tm 3.54, 3 Nd 3.55
Nd2 0.8740 0.8740 0.3780  3 In 3.22, 3 Zn 3.35, 1 Tm 3.54, 3 Nd 3.55
In1 0.2688 0.2688 0.1937  3 Zn 2.73
In2 0.7312 0.7312 0.8063  3 Zn 2.73
Tm1 0.0000 0.0000 0.0000  6 Zn 3.14, 6 In 3.27
Zn1 0.6105 0.6105 0.1686  3 In 2.73
Zn2 0.3895 0.3895 0.8314  3 In 2.73

Output
The total energy comes out at -3.431 eV per atom. The density comes out at 7.55 g/cm3.



Density functional theory data (PBE-GGA) for an optimized crystal structure of NdUIn.

Cell lengths 3.6431, 5.5198, 8.4765 Å; angles 94.58, 102.41, 90.00 degrees
Closest atoms and distances in Å follow each position.
Fractional positions:
Nd1 0.0892 0.3183 0.1783  6 In 3.26-3.38, 2 U 3.49, 2 Nd 3.64
Nd2 0.9108 0.6817 0.8217  6 In 3.26-3.38, 2 U 3.49, 2 Nd 3.64
U1 0.2430 0.8389 0.4860  2 U 2.54
U2 0.7570 0.1611 0.5140  2 U 2.54
In1 0.5801 0.8260 0.1602  3 U 3.25-3.33, 6 Nd 3.26-3.38, 1 In 3.40
In2 0.4199 0.1740 0.8398  3 U 3.25-3.33, 6 Nd 3.26-3.38, 1 In 3.40

Output
The total energy comes out at -6.343 eV per atom. The density comes out at 9.95 g/cm3.



Density functional theory data (PBE-GGA) for an optimized crystal structure of Nd4Y3In.

Cell lengths 3.6215, 9.3782, 11.4765 Å; angles 134.59, 99.08, 90.00 degrees
Closest atoms and distances in Å follow each position.
Fractional positions:
In1 0.5000 0.0000 0.0000  4 Y 3.26, 4 Nd 3.55, 2 In 3.62
Y1 0.8682 0.9570 0.7364  2 In 3.26, 2 Nd 3.38-3.39, 3 Y 3.62-3.64
Y2 0.0000 0.5000 0.0000  4 Nd 3.37, 4 Y 3.62-3.64
Y3 0.1318 0.0430 0.2636  2 In 3.26, 2 Nd 3.38-3.39, 3 Y 3.62-3.64
Nd1 0.8380 0.5479 0.6760  1 Y 3.38, 4 Nd 3.46-3.62, 2 In 3.55
Nd2 0.6783 0.7936 0.3567  6 Nd 3.31-3.62, 5 Y 3.37-3.66
Nd3 0.3217 0.2064 0.6433  6 Nd 3.31-3.62, 5 Y 3.37-3.66
Nd4 0.1620 0.4521 0.3240  1 Y 3.38, 4 Nd 3.46-3.62, 2 In 3.55

Output
The total energy comes out at -5.088 eV per atom. The density comes out at 5.88 g/cm3.



Density functional theory data (PBE-GGA) for an optimized crystal structure of Nd2Y6In.

Cell lengths 3.5288, 10.2161, 9.6968 Å; angles 121.79, 100.46, 90.00 degrees
Closest atoms and distances in Å follow each position.
Fractional positions:
Y1 0.1768 0.0149 0.3534  1 In 3.29, 7 Y 3.31-3.61, 3 Nd 3.48-3.67
Y2 0.5000 0.2946 0.0000  2 In 3.49, 6 Y 3.53-3.61, 4 Nd 3.67
Y3 0.8232 0.9851 0.6466  1 In 3.29, 7 Y 3.31-3.61, 3 Nd 3.48-3.67
Y4 0.5000 0.7054 0.0000  2 In 3.49, 6 Y 3.53-3.61, 4 Nd 3.67
Y5 0.8232 0.6615 0.6466  1 In 3.29, 7 Y 3.31-3.61, 3 Nd 3.48-3.67
Y6 0.1768 0.3385 0.3534  1 In 3.29, 7 Y 3.31-3.61, 3 Nd 3.48-3.67
In1 0.0000 0.0000 0.0000  8 Y 3.29-3.49, 2 In 3.53
Nd1 0.1520 0.6516 0.3032  10 Y 3.48-3.67, 2 Nd 3.53
Nd2 0.8480 0.3484 0.6968  10 Y 3.48-3.67, 2 Nd 3.53

Output
The total energy comes out at -5.696 eV per atom. The density comes out at 5.36 g/cm3.



Density functional theory data (PBE-GGA) for an optimized crystal structure of Nd3Y4In.

Cell lengths 6.2693, 7.1544, 11.3757 Å; angles 90.00, 90.00, 90.00 degrees
Closest atoms and distances in Å follow each position.
Fractional positions:
Nd1 0.4708 0.3866 0.2609  2 In 3.46-3.58, 4 Nd 3.47-3.57, 6 Y 3.50-3.78
Nd2 0.6278 0.6265 0.0000  6 Y 3.40-3.81, 4 Nd 3.47-3.57, 2 In 3.54-3.79
Nd3 0.9708 0.6134 0.7609  2 In 3.46-3.58, 4 Nd 3.47-3.57, 6 Y 3.50-3.78
Nd4 0.4708 0.3866 0.7391  2 In 3.46-3.58, 4 Nd 3.47-3.57, 6 Y 3.50-3.78
Nd5 0.9708 0.6134 0.2391  2 In 3.46-3.58, 4 Nd 3.47-3.57, 6 Y 3.50-3.78
Nd6 0.1278 0.3735 0.5000  6 Y 3.40-3.81, 4 Nd 3.47-3.57, 2 In 3.54-3.79
Y1 0.1444 0.8704 0.5000  6 Y 3.49-3.74, 2 In 3.51-3.58, 4 Nd 3.56-3.66
Y2 0.4924 0.8759 0.7391  1 In 3.36, 6 Y 3.43-3.61, 4 Nd 3.50-3.66
Y3 0.9924 0.1241 0.2391  1 In 3.36, 6 Y 3.43-3.61, 4 Nd 3.50-3.66
Y4 0.9924 0.1241 0.7609  1 In 3.36, 6 Y 3.43-3.61, 4 Nd 3.50-3.66
Y5 0.6444 0.1296 0.0000  6 Y 3.49-3.74, 2 In 3.51-3.58, 4 Nd 3.56-3.66
Y6 0.6652 0.1256 0.5000  4 Nd 3.40-3.81, 6 Y 3.43-3.74, 2 In 3.48-3.68
Y7 0.4924 0.8759 0.2609  1 In 3.36, 6 Y 3.43-3.61, 4 Nd 3.50-3.66
Y8 0.1652 0.8744 0.0000  4 Nd 3.40-3.81, 6 Y 3.43-3.74, 2 In 3.48-3.68
In1 0.6514 0.6392 0.5000  6 Y 3.36-3.68, 5 Nd 3.46-3.58
In2 0.1514 0.3608 0.0000  6 Y 3.36-3.68, 5 Nd 3.46-3.58

Output
The total energy comes out at -5.479 eV per atom. The density comes out at 5.88 g/cm3.



Density functional theory data (PBE-GGA) for an optimized crystal structure of NdY6In.

Cell lengths 4.9372, 4.9372, 10.1522 Å; angles 90.00, 90.00, 90.00 degrees
Closest atoms and distances in Å follow each position.
Fractional positions:
Y1 0.0000 0.5000 0.7591  2 In 3.47, 8 Y 3.47-3.61, 2 Nd 3.61
Y2 0.5000 0.5000 0.5000  4 Nd 3.49, 8 Y 3.61
Y3 0.5000 0.5000 0.0000  8 Y 3.47, 4 In 3.49
Y4 0.5000 0.0000 0.7591  2 In 3.47, 8 Y 3.47-3.61, 2 Nd 3.61
Y5 0.5000 0.0000 0.2409  8 Y 3.47-3.61, 2 In 3.47, 2 Nd 3.61
Y6 0.0000 0.5000 0.2409  8 Y 3.47-3.61, 2 In 3.47, 2 Nd 3.61
Nd1 0.0000 0.0000 0.5000  12 Y 3.49-3.61
In1 0.0000 0.0000 0.0000  12 Y 3.47-3.49

Output
The total energy comes out at -5.896 eV per atom. The density comes out at 5.32 g/cm3.



Density functional theory data (PBE-GGA) for an optimized crystal structure of NdYIn6.

Cell lengths 5.3066, 6.6906, 6.6906 Å; angles 119.97, 90.00, 90.00 degrees
Closest atoms and distances in Å follow each position.
Fractional positions:
In1 0.5000 0.9111 0.5726  8 In 3.24-3.46, 2 Y 3.32, 2 Nd 3.35
In2 0.0000 0.5920 0.9339  8 In 3.17-3.52, 2 Nd 3.34, 2 Y 3.35
In3 0.0000 0.5916 0.4084  8 In 3.18-3.51, 2 Nd 3.34, 2 Y 3.35
In4 0.0000 0.0661 0.4080  8 In 3.17-3.52, 2 Nd 3.34, 2 Y 3.35
In5 0.5000 0.9116 0.0884  8 In 3.24-3.45, 2 Y 3.32, 2 Nd 3.35
In6 0.5000 0.4274 0.0889  8 In 3.24-3.46, 2 Y 3.32, 2 Nd 3.35
Nd1 0.5000 0.4164 0.5836  12 In 3.34-3.35
Y1 0.0000 0.0835 0.9165  12 In 3.32-3.35

Output
The total energy comes out at -3.846 eV per atom. The density comes out at 7.44 g/cm3.